Record 1
This record from the Alexandria database describes a geometry-optimized Be2CoSi structure. The functional is GGA-PBEsol.

abc: 4.1492 4.1492 4.1492
angles: 133.50 133.50 67.87
Closest atoms and distances in Å follow each position.
Positions (direct):
Be: 0.2500 0.7500 0.5000  4 Be 2.32, 4 Si 2.38, 4 Co 2.38
Be: 0.7500 0.2500 0.5000  4 Be 2.32, 4 Si 2.38, 4 Co 2.38
Co: 0.0000 0.0000 0.0000  4 Si 2.32, 8 Be 2.38
Si: 0.5000 0.5000 0.0000  4 Co 2.32, 8 Be 2.38

Computed properties:
DOS(E_F)	1.2	states/eV/f.u.
formation energy from raw total energies	-1.386	eV/f.u.
VASP energy	-5.717	eV per atom
density	4.722	g/cm3

Record 2
This record from the Alexandria database describes a geometry-optimized MoIr2SCl structure. The functional is GGA-PBEsol.

abc: 4.7528 4.7528 4.4921
angles: 90.00 90.00 90.00
Closest atoms and distances in Å follow each position.
Positions (direct):
Mo: 0.0000 0.0000 0.0000  2 S 2.25, 4 Ir 2.38
Ir: 0.0000 0.5000 0.0000  2 Mo 2.38
Ir: 0.5000 0.0000 0.0000  2 Mo 2.38
S: 0.0000 0.0000 0.5000  2 Mo 2.25
Cl: 0.5000 0.5000 0.5000  8 Ir 3.27, 4 S 3.36

Computed properties:
DOS(E_F)	7.6	states/eV/f.u.
formation energy from raw total energies	7.119	eV/f.u.
VASP energy	-6.137	eV per atom
density	8.966	g/cm3

Record 3
This record from the Alexandria database describes a geometry-optimized TaBeAg2 structure. The functional is GGA-PBEsol.

abc: 5.4409 5.4409 5.4409
angles: 150.79 129.50 59.41
Closest atoms and distances in Å follow each position.
Positions (direct):
Ta: 0.0000 0.0000 0.0000  2 Be 2.55, 2 Ta 2.74, 4 Ag 2.78
Be: 0.2276 0.7276 0.5000  2 Ag 2.35, 2 Ta 2.55
Ag: 0.4289 0.4289 0.0000  2 Be 2.35
Ag: 0.7127 0.2127 0.5000  4 Be 2.70, 4 Ag 2.74-3.01

Computed properties:
DOS(E_F)	1.2	states/eV/f.u.
VASP energy	-5.440	eV per atom
density	11.193	g/cm3
calculated formation energy	354	meV/atom